CoGe, optimized geometry, DFT PBE; V = 29 Å³/f.u.; DFT total energy = -94.8 eV per cell
1.0
4.646 0.000 0.000
0.000 6.666 0.000
0.000 0.000 7.559
Co Ge
8 8
Cartesian
0.024 1.247 2.984
1.061 3.492 2.885
1.262 3.174 6.665
2.298 5.419 6.764
2.347 2.086 4.575
3.384 6.507 4.674
3.585 0.159 0.894
4.621 4.580 0.795
0.031 5.591 2.948
0.058 5.593 6.286
2.265 1.073 2.507
2.292 1.074 6.728
2.354 4.407 4.611
2.381 4.406 1.273
4.588 2.260 5.052
4.615 2.258 0.831